[1]
Here is CaNd5Er4 after structural relaxation from Alexandria via LeMat-Bulk. Energies are from PBE.

Properties
- E_form: 0.029 eV/atom
- Raw total energy: -0.16098 Ha/atom
- Size of the total moment: 0.000 Bohr magnetons per cell

```
data_CaNd5Er4
_space_group_name_H-M_alt 'P 4/m m m'
_space_group_IT_number 123
_space_group_name_Hall '-P 4 2'
_cell_length_a 3.628
_cell_length_b 3.628
_cell_length_c 25.658
_cell_angle_alpha 90.00
_cell_angle_beta 90.00
_cell_angle_gamma 90.00
loop_
_atom_site_label
_atom_site_type_symbol
_atom_site_fract_x
_atom_site_fract_y
_atom_site_fract_z
_atom_site_occupancy
Ca1 Ca 0.000 0.000 0.000 1
Nd1 Nd 0.500 0.500 0.110 1
Nd2 Nd 0.500 0.500 0.305 1
Nd3 Nd 0.500 0.500 0.500 1
Er1 Er 0.000 0.000 0.206 1
Er2 Er 0.000 0.000 0.402 1
```

[2]
Here is CaNd9Er2 after structural relaxation from Alexandria via LeMat-Bulk. Energies are from PBE.

Properties
- E_form: 0.032 eV/atom
- Raw total energy: -0.16433 Ha/atom
- Size of the total moment: 0.000 Bohr magnetons per cell

```
data_CaNd9Er2
_space_group_name_H-M_alt 'P 4/m m m'
_space_group_IT_number 123
_space_group_name_Hall '-P 4 2'
_cell_length_a 5.177
_cell_length_b 5.177
_cell_length_c 15.557
_cell_angle_alpha 90.00
_cell_angle_beta 90.00
_cell_angle_gamma 90.00
loop_
_atom_site_label
_atom_site_type_symbol
_atom_site_fract_x
_atom_site_fract_y
_atom_site_fract_z
_atom_site_occupancy
Ca1 Ca 0.000 0.000 0.000 1
Nd1 Nd 0.000 0.500 0.173 1
Nd2 Nd 0.000 0.500 0.500 1
Nd3 Nd 0.500 0.500 0.000 1
Nd4 Nd 0.500 0.500 0.335 1
Er1 Er 0.000 0.000 0.335 1
```